#one
TbReOs | GGA-PBE | relaxed

Cell lengths 10.192, 4.368, 7.174 Å; angles 90.00, 132.25, 90.00 degrees
Fractional coordinates of all 12 atoms:
Tb 0.067 0.000 0.318
Tb 0.433 0.500 0.682
Tb 0.567 0.500 0.318
Tb 0.933 0.000 0.682
Re 0.159 0.500 0.070
Re 0.341 0.000 0.930
Re 0.659 0.000 0.070
Re 0.841 0.500 0.930
Os 0.169 0.500 0.733
Os 0.331 0.000 0.267
Os 0.669 0.000 0.733
Os 0.831 0.500 0.267

Values from the calculation:
* calculated density: 15.04 g cm⁻³
* total moment: 0.0 μB/cell

#two
TbReOs | GGA-PBE | relaxed

Cell lengths 8.673, 5.477, 5.477 Å; angles 58.64, 90.00, 90.00 degrees
Fractional coordinates of all 12 atoms:
Tb 0.182 0.000 0.000
Tb 0.313 0.668 0.668
Tb 0.687 0.668 0.668
Tb 0.818 0.000 0.000
Re 0.247 0.337 0.337
Re 0.500 0.163 0.672
Re 0.500 0.672 0.163
Re 0.753 0.337 0.337
Os 0.000 0.503 0.503
Os 0.000 0.504 0.987
Os 0.000 0.987 0.504
Os 0.500 0.158 0.158

Values from the calculation:
* calculated density: 16.01 g cm⁻³
* total moment: 0.0 μB/cell

Quick look at relative energies in kJ/mol of atoms: #one 10.8; #two 0.0.

#one
ReTc2Os | GGA-PBE | relaxed

Cell lengths 2.743, 2.743, 7.785 Å; angles 90.00, 90.00, 90.00 degrees
Fractional coordinates of all 4 atoms:
Re 0.000 0.000 0.000
Tc 0.000 0.000 0.503
Tc 0.500 0.500 0.254
Os 0.500 0.500 0.754

Values from the calculation:
* calculated density: 16.23 g cm⁻³
* total moment: 0.0 μB/cell

#two
ReTc2Os | GGA-PBE | relaxed

Cell lengths 3.877, 3.877, 7.792 Å; angles 90.00, 90.00, 90.00 degrees
Fractional coordinates of all 8 atoms:
Re 0.000 0.000 0.000
Re 0.500 0.500 0.500
Tc 0.000 0.500 0.250
Tc 0.000 0.500 0.750
Tc 0.500 0.000 0.250
Tc 0.500 0.000 0.750
Os 0.000 0.000 0.500
Os 0.500 0.500 0.000

Values from the calculation:
* calculated density: 16.24 g cm⁻³
* total moment: 0.0 μB/cell

Quick look at relative energies in kJ/mol of atoms: #one 1.2; #two 0.0.

#one
ReTc2Os | GGA-PBE | relaxed

Cell lengths 3.883, 3.883, 3.882 Å; angles 90.00, 90.00, 90.00 degrees
Fractional coordinates of all 4 atoms:
Re 0.000 0.000 0.000
Tc 0.000 0.500 0.500
Tc 0.500 0.000 0.500
Os 0.500 0.500 0.000

Values from the calculation:
* calculated density: 16.24 g cm⁻³
* total moment: 0.0 μB/cell

#two
ReTc2Os | GGA-PBE | relaxed

Cell lengths 4.193, 4.193, 13.112 Å; angles 90.00, 90.00, 120.00 degrees
Fractional coordinates of all 12 atoms:
Re 0.000 0.000 0.000
Re 0.333 0.667 0.667
Re 0.667 0.333 0.333
Tc 0.000 0.000 0.402
Tc 0.000 0.000 0.598
Tc 0.333 0.667 0.069
Tc 0.333 0.667 0.265
Tc 0.667 0.333 0.736
Tc 0.667 0.333 0.931
Os 0.000 0.000 0.806
Os 0.333 0.667 0.473
Os 0.667 0.333 0.140

Values from the calculation:
* calculated density: 14.29 g cm⁻³
* total moment: 0.0 μB/cell

Quick look at relative energies in kJ/mol of atoms: #one 0.0; #two 42.1.

#one
ReTc2Os | GGA-PBE | relaxed

Cell lengths 9.129, 2.746, 4.756 Å; angles 90.00, 100.36, 90.00 degrees
Fractional coordinates of all 8 atoms:
Re 0.000 0.000 0.000
Re 0.500 0.500 0.000
Tc 0.005 0.500 0.504
Tc 0.245 0.500 0.257
Tc 0.505 0.000 0.504
Tc 0.745 0.000 0.257
Os 0.247 0.000 0.757
Os 0.747 0.500 0.757

Values from the calculation:
* calculated density: 16.21 g cm⁻³
* total moment: 0.0 μB/cell

#two
ReTc2Os | GGA-PBE | relaxed

Cell lengths 4.775, 2.759, 9.016 Å; angles 90.00, 100.25, 90.00 degrees
Fractional coordinates of all 8 atoms:
Re 0.000 0.000 0.000
Re 0.500 0.500 0.000
Tc 0.082 0.500 0.742
Tc 0.418 0.000 0.250
Tc 0.582 0.000 0.742
Tc 0.918 0.500 0.250
Os 0.334 0.500 0.502
Os 0.834 0.000 0.502

Values from the calculation:
* calculated density: 16.27 g cm⁻³
* total moment: 0.0 μB/cell

#three
ReTc2Os | GGA-PBE | relaxed

Cell lengths 4.277, 2.740, 10.107 Å; angles 90.00, 90.00, 90.00 degrees
Fractional coordinates of all 8 atoms:
Re 0.000 0.000 0.000
Re 0.000 0.500 0.500
Tc 0.000 0.000 0.742
Tc 0.000 0.500 0.242
Tc 0.500 0.000 0.127
Tc 0.500 0.500 0.627
Os 0.500 0.000 0.389
Os 0.500 0.500 0.889

Values from the calculation:
* calculated density: 16.05 g cm⁻³
* total moment: 0.0 μB/cell

Quick look at relative energies in kJ/mol of atoms: #one 5.8; #two 0.0; #three 10.6.

#one
Re2TcOs | GGA-PBE | relaxed

Cell lengths 2.749, 2.749, 27.083 Å; angles 90.00, 90.00, 120.00 degrees
Fractional coordinates of all 12 atoms:
Re 0.000 0.000 0.000
Re 0.000 0.000 0.248
Re 0.333 0.667 0.667
Re 0.333 0.667 0.914
Re 0.667 0.333 0.333
Re 0.667 0.333 0.581
Tc 0.000 0.000 0.748
Tc 0.333 0.667 0.415
Tc 0.667 0.333 0.081
Os 0.000 0.000 0.500
Os 0.333 0.667 0.166
Os 0.667 0.333 0.833

Values from the calculation:
* calculated density: 18.57 g cm⁻³
* total moment: 0.0 μB/cell

#two
Re2TcOs | GGA-PBE | relaxed

Cell lengths 2.702, 4.515, 4.927 Å; angles 90.00, 94.90, 90.00 degrees
Fractional coordinates of all 4 atoms:
Re 0.198 0.000 0.250
Re 0.802 0.000 0.750
Tc 0.000 0.500 0.500
Os 0.500 0.500 0.000

Values from the calculation:
* calculated density: 18.32 g cm⁻³
* total moment: 0.0 μB/cell

Quick look at relative energies in kJ/mol of atoms: #one 0.0; #two 31.8.

#one
Re2TcOs | GGA-PBE | relaxed

Cell lengths 9.148, 2.753, 4.765 Å; angles 90.00, 100.36, 90.00 degrees
Fractional coordinates of all 8 atoms:
Re 0.000 0.000 0.000
Re 0.245 0.500 0.258
Re 0.500 0.500 0.000
Re 0.745 0.000 0.258
Tc 0.242 0.000 0.752
Tc 0.742 0.500 0.752
Os 0.499 0.000 0.501
Os 0.999 0.500 0.501

Values from the calculation:
* calculated density: 18.59 g cm⁻³
* total moment: 0.0 μB/cell

#two
Re2TcOs | GGA-PBE | relaxed

Cell lengths 6.206, 6.206, 6.206 Å; angles 90.00, 90.00, 90.00 degrees
Fractional coordinates of all 16 atoms:
Re 0.000 0.000 0.000
Re 0.000 0.500 0.500
Re 0.250 0.250 0.250
Re 0.250 0.750 0.750
Re 0.500 0.000 0.500
Re 0.500 0.500 0.000
Re 0.750 0.250 0.750
Re 0.750 0.750 0.250
Tc 0.000 0.000 0.500
Tc 0.000 0.500 0.000
Tc 0.500 0.000 0.000
Tc 0.500 0.500 0.500
Os 0.250 0.250 0.750
Os 0.250 0.750 0.250
Os 0.750 0.250 0.250
Os 0.750 0.750 0.750

Values from the calculation:
* calculated density: 18.36 g cm⁻³
* total moment: 0.0 μB/cell

Quick look at relative energies in kJ/mol of atoms: #one 0.0; #two 36.2.

#one
Re2TcOs | GGA-PBE | relaxed

Cell lengths 2.747, 2.747, 27.070 Å; angles 90.00, 90.00, 120.00 degrees
Fractional coordinates of all 12 atoms:
Re 0.000 0.000 0.250
Re 0.000 0.000 0.750
Re 0.333 0.667 0.416
Re 0.333 0.667 0.917
Re 0.667 0.333 0.083
Re 0.667 0.333 0.584
Tc 0.000 0.000 0.000
Tc 0.333 0.667 0.667
Tc 0.667 0.333 0.333
Os 0.000 0.000 0.500
Os 0.333 0.667 0.167
Os 0.667 0.333 0.833

Values from the calculation:
* calculated density: 18.61 g cm⁻³
* total moment: 0.0 μB/cell

#two
Re2TcOs | GGA-PBE | relaxed

Cell lengths 2.749, 2.749, 7.798 Å; angles 90.00, 90.00, 90.00 degrees
Fractional coordinates of all 4 atoms:
Re 0.000 0.000 0.249
Re 0.000 0.000 0.751
Tc 0.500 0.500 0.500
Os 0.500 0.500 0.000

Values from the calculation:
* calculated density: 18.62 g cm⁻³
* total moment: 0.0 μB/cell

Quick look at relative energies in kJ/mol of atoms: #one 0.0; #two 0.5.

#one
Re2TcOs | GGA-PBE | relaxed

Cell lengths 2.750, 3.886, 5.520 Å; angles 90.00, 90.00, 90.00 degrees
Fractional coordinates of all 4 atoms:
Re 0.000 0.000 0.000
Re 0.500 0.500 0.257
Tc 0.000 0.000 0.506
Os 0.500 0.500 0.754

Values from the calculation:
* calculated density: 18.59 g cm⁻³
* total moment: 0.0 μB/cell

#two
Re2TcOs | GGA-PBE | relaxed

Cell lengths 2.747, 3.883, 5.528 Å; angles 90.00, 90.00, 90.00 degrees
Fractional coordinates of all 4 atoms:
Re 0.000 0.000 0.249
Re 0.000 0.000 0.751
Tc 0.500 0.500 0.500
Os 0.500 0.500 0.000

Values from the calculation:
* calculated density: 18.61 g cm⁻³
* total moment: 0.0 μB/cell

#three
Re2TcOs | GGA-PBE | relaxed

Cell lengths 4.794, 2.767, 8.859 Å; angles 90.00, 90.07, 90.00 degrees
Fractional coordinates of all 8 atoms:
Re 0.167 0.000 0.250
Re 0.333 0.500 0.750
Re 0.667 0.500 0.250
Re 0.833 0.000 0.750
Tc 0.000 0.500 0.000
Tc 0.500 0.000 0.000
Os 0.000 0.500 0.500
Os 0.500 0.000 0.500

Values from the calculation:
* calculated density: 18.67 g cm⁻³
* total moment: 0.0 μB/cell

Quick look at relative energies in kJ/mol of atoms: #one 8.5; #two 7.8; #three 0.0.

#one
Re2TcOs | GGA-PBE | relaxed

Cell lengths 5.631, 5.631, 11.139 Å; angles 90.00, 90.00, 90.00 degrees
Fractional coordinates of all 16 atoms:
Re 0.248 0.250 0.125
Re 0.250 0.748 0.375
Re 0.250 0.752 0.875
Re 0.252 0.250 0.625
Re 0.748 0.750 0.625
Re 0.750 0.248 0.875
Re 0.750 0.252 0.375
Re 0.752 0.750 0.125
Tc 0.000 0.000 0.500
Tc 0.000 0.500 0.750
Tc 0.500 0.000 0.250
Tc 0.500 0.500 0.000
Os 0.000 0.000 0.000
Os 0.000 0.500 0.250
Os 0.500 0.000 0.750
Os 0.500 0.500 0.500

Values from the calculation:
* calculated density: 12.42 g cm⁻³
* total moment: 0.0 μB/cell

#two
Re2TcOs | GGA-PBE | relaxed

Cell lengths 4.945, 4.945, 4.891 Å; angles 90.00, 90.00, 90.00 degrees
Fractional coordinates of all 8 atoms:
Re 0.000 0.250 0.000
Re 0.000 0.750 0.000
Re 0.250 0.000 0.500
Re 0.750 0.000 0.500
Tc 0.500 0.500 0.250
Tc 0.500 0.500 0.750
Os 0.000 0.500 0.500
Os 0.500 0.000 0.000

Values from the calculation:
* calculated density: 18.35 g cm⁻³
* total moment: 0.0 μB/cell

#three
Re2TcOs | GGA-PBE | relaxed

Cell lengths 2.749, 2.749, 7.805 Å; angles 90.00, 90.00, 90.00 degrees
Fractional coordinates of all 4 atoms:
Re 0.000 0.000 0.000
Re 0.500 0.500 0.256
Tc 0.000 0.000 0.504
Os 0.500 0.500 0.756

Values from the calculation:
* calculated density: 18.60 g cm⁻³
* total moment: 0.0 μB/cell

Quick look at relative energies in kJ/mol of atoms: #one 133.5; #two 11.0; #three 0.0.

#one
Re2TcOs | GGA-PBE | relaxed

Cell lengths 3.895, 3.895, 7.769 Å; angles 90.00, 90.00, 90.00 degrees
Fractional coordinates of all 8 atoms:
Re 0.000 0.500 0.250
Re 0.000 0.500 0.750
Re 0.500 0.000 0.250
Re 0.500 0.000 0.750
Tc 0.000 0.000 0.000
Tc 0.500 0.500 0.500
Os 0.000 0.000 0.500
Os 0.500 0.500 0.000

Values from the calculation:
* calculated density: 18.62 g cm⁻³
* total moment: 0.0 μB/cell

#two
Re2TcOs | GGA-PBE | relaxed

Cell lengths 6.205, 6.205, 6.205 Å; angles 90.00, 90.00, 90.00 degrees
Fractional coordinates of all 16 atoms:
Re 0.250 0.250 0.250
Re 0.250 0.250 0.750
Re 0.250 0.750 0.250
Re 0.250 0.750 0.750
Re 0.750 0.250 0.250
Re 0.750 0.250 0.750
Re 0.750 0.750 0.250
Re 0.750 0.750 0.750
Tc 0.000 0.000 0.000
Tc 0.000 0.500 0.500
Tc 0.500 0.000 0.500
Tc 0.500 0.500 0.000
Os 0.000 0.000 0.500
Os 0.000 0.500 0.000
Os 0.500 0.000 0.000
Os 0.500 0.500 0.500

Values from the calculation:
* calculated density: 18.37 g cm⁻³
* total moment: 0.0 μB/cell

#three
Re2TcOs | GGA-PBE | relaxed

Cell lengths 4.201, 4.201, 13.134 Å; angles 90.00, 90.00, 120.00 degrees
Fractional coordinates of all 12 atoms:
Re 0.000 0.000 0.000
Re 0.000 0.000 0.194
Re 0.333 0.667 0.667
Re 0.333 0.667 0.861
Re 0.667 0.333 0.333
Re 0.667 0.333 0.528
Tc 0.000 0.000 0.596
Tc 0.333 0.667 0.263
Tc 0.667 0.333 0.930
Os 0.000 0.000 0.792
Os 0.333 0.667 0.459
Os 0.667 0.333 0.125

Values from the calculation:
* calculated density: 16.40 g cm⁻³
* total moment: 0.0 μB/cell

#four
Re2TcOs | GGA-PBE | relaxed

Cell lengths 2.751, 4.284, 5.258 Å; angles 90.00, 105.13, 90.00 degrees
Fractional coordinates of all 4 atoms:
Re 0.000 0.000 0.000
Re 0.130 0.500 0.262
Tc 0.741 0.000 0.485
Os 0.393 0.500 0.785

Values from the calculation:
* calculated density: 18.34 g cm⁻³
* total moment: 0.0 μB/cell

Quick look at relative energies in kJ/mol of atoms: #one 0.0; #two 39.2; #three 44.8; #four 7.5.

#one
ReTc3Os | GGA-PBE | relaxed

Cell lengths 4.587, 4.587, 4.587 Å; angles 90.00, 90.00, 90.00 degrees
Fractional coordinates of all 5 atoms:
Re 0.000 0.000 0.000
Tc 0.000 0.000 0.500
Tc 0.000 0.500 0.000
Tc 0.500 0.000 0.000
Os 0.500 0.500 0.500

Values from the calculation:
* calculated density: 11.54 g cm⁻³
* total moment: 0.0 μB/cell

#two
ReTc3Os | GGA-PBE | relaxed

Cell lengths 6.597, 2.760, 8.775 Å; angles 90.00, 111.33, 90.00 degrees
Fractional coordinates of all 10 atoms:
Re 0.126 0.250 0.434
Re 0.874 0.750 0.566
Tc 0.003 0.250 0.863
Tc 0.289 0.750 0.737
Tc 0.426 0.750 0.367
Tc 0.574 0.250 0.633
Tc 0.711 0.250 0.263
Tc 0.997 0.750 0.137
Os 0.366 0.750 0.053
Os 0.634 0.250 0.947

Values from the calculation:
* calculated density: 14.96 g cm⁻³
* total moment: 0.0 μB/cell

#three
ReTc3Os | GGA-PBE | relaxed

Cell lengths 4.783, 5.206, 7.065 Å; angles 71.24, 89.98, 62.68 degrees
Fractional coordinates of all 10 atoms:
Re 0.000 0.000 0.000
Re 0.191 0.618 0.399
Tc 0.062 0.213 0.299
Tc 0.392 0.215 0.801
Tc 0.465 0.407 0.099
Tc 0.663 0.006 0.500
Tc 0.798 0.403 0.599
Tc 0.857 0.615 0.898
Os 0.261 0.810 0.699
Os 0.598 0.810 0.200

Values from the calculation:
* calculated density: 15.28 g cm⁻³
* total moment: 0.0 μB/cell

Quick look at relative energies in kJ/mol of atoms: #one 214.2; #two 15.9; #three 0.0.